# PaHg3F6 (PBE, relaxed)
# DFT total energy: -4.654 eV/atom
# Crystal system: trigonal
data_PaHg3F6
_cell_length_a 5.0581
_cell_length_b 5.0581
_cell_length_c 7.6573
_cell_angle_alpha 90.00
_cell_angle_beta 90.00
_cell_angle_gamma 120.00
_space_group_name_H-M_alt 'P -3 1 m'
_space_group_IT_number 162
_space_group_name_Hall '-P 3 2'
loop_
_atom_site_label
_atom_site_type_symbol
_atom_site_fract_x
_atom_site_fract_y
_atom_site_fract_z
Pa1 Pa 0.0000 0.0000 0.0000
Hg1 Hg 0.0000 0.0000 0.5000
Hg2 Hg 0.3333 0.6667 0.5000
F1 F 0.0000 0.3326 0.8338

# Rb2HgPbF6 (PBE, relaxed)
# DFT total energy: -3.905 eV/atom
# Crystal system: cubic
data_Rb2HgPbF6
_cell_length_a 9.093
_cell_length_b 9.093
_cell_length_c 9.093
_cell_angle_alpha 90.00
_cell_angle_beta 90.00
_cell_angle_gamma 90.00
_space_group_name_H-M_alt 'F m -3 m'
_space_group_IT_number 225
_space_group_name_Hall '-F 4 2 3'
loop_
_atom_site_label
_atom_site_type_symbol
_atom_site_fract_x
_atom_site_fract_y
_atom_site_fract_z
Rb1 Rb 0.250 0.250 0.250
Hg1 Hg 0.000 0.000 0.000
Pb1 Pb 0.000 0.000 0.500
F1 F 0.000 0.000 0.246

# HgTe2Pb2F2 (PBE, relaxed)
# DFT total energy: -3.632 eV/atom
# Crystal system: tetragonal
data_HgTe2Pb2F2
_cell_length_a 4.232
_cell_length_b 4.232
_cell_length_c 9.939
_cell_angle_alpha 90.00
_cell_angle_beta 90.00
_cell_angle_gamma 90.00
_space_group_name_H-M_alt 'P -4 m 2'
_space_group_IT_number 115
loop_
_space_group_symop_operation_xyz
'x,y,z'
'y,-x,-z'
'-x,-y,z'
'-y,x,-z'
'-x,y,z'
'-y,-x,-z'
'x,-y,z'
'y,x,-z'
loop_
_atom_site_label
_atom_site_type_symbol
_atom_site_fract_x
_atom_site_fract_y
_atom_site_fract_z
Hg1 Hg 0.000 0.000 0.000
Te1 Te 0.000 0.500 0.805
Pb1 Pb 0.000 0.500 0.353
F1 F 0.000 0.000 0.500
F2 F 0.500 0.500 0.500

# Hg2Te2PbF2 (PBE, relaxed)
# DFT total energy: -2.649 eV/atom
# Crystal system: tetragonal
data_Hg2Te2PbF2
_cell_length_a 4.110
_cell_length_b 4.110
_cell_length_c 9.857
_cell_angle_alpha 90.00
_cell_angle_beta 90.00
_cell_angle_gamma 90.00
_space_group_name_H-M_alt 'P -4 m 2'
_space_group_IT_number 115
loop_
_space_group_symop_operation_xyz
'x,y,z'
'y,-x,-z'
'-x,-y,z'
'-y,x,-z'
'-x,y,z'
'-y,-x,-z'
'x,-y,z'
'y,x,-z'
loop_
_atom_site_label
_atom_site_type_symbol
_atom_site_fract_x
_atom_site_fract_y
_atom_site_fract_z
Hg1 Hg 0.000 0.500 0.149
Te1 Te 0.000 0.500 0.729
Pb1 Pb 0.500 0.500 0.500
F1 F 0.000 0.000 0.000
F2 F 0.500 0.500 0.000

# HgTe2Pd2F2 (PBE, relaxed)
# DFT total energy: -3.435 eV/atom
# Crystal system: tetragonal
data_HgTe2Pd2F2
_cell_length_a 3.644
_cell_length_b 3.644
_cell_length_c 9.998
_cell_angle_alpha 90.00
_cell_angle_beta 90.00
_cell_angle_gamma 90.00
_space_group_name_H-M_alt 'P -4 m 2'
_space_group_IT_number 115
loop_
_space_group_symop_operation_xyz
'x,y,z'
'y,-x,-z'
'-x,-y,z'
'-y,x,-z'
'-x,y,z'
'-y,-x,-z'
'x,-y,z'
'y,x,-z'
loop_
_atom_site_label
_atom_site_type_symbol
_atom_site_fract_x
_atom_site_fract_y
_atom_site_fract_z
Hg1 Hg 0.000 0.000 0.000
Te1 Te 0.000 0.500 0.760
Pd1 Pd 0.000 0.500 0.344
F1 F 0.000 0.000 0.500
F2 F 0.500 0.500 0.500

# Hg2Te2PdF2 (PBE, relaxed)
# DFT total energy: -2.816 eV/atom
# Crystal system: tetragonal
data_Hg2Te2PdF2
_cell_length_a 3.919
_cell_length_b 3.919
_cell_length_c 9.512
_cell_angle_alpha 90.00
_cell_angle_beta 90.00
_cell_angle_gamma 90.00
_space_group_name_H-M_alt 'P -4 m 2'
_space_group_IT_number 115
loop_
_space_group_symop_operation_xyz
'x,y,z'
'y,-x,-z'
'-x,-y,z'
'-y,x,-z'
'-x,y,z'
'-y,-x,-z'
'x,-y,z'
'y,x,-z'
loop_
_atom_site_label
_atom_site_type_symbol
_atom_site_fract_x
_atom_site_fract_y
_atom_site_fract_z
Hg1 Hg 0.000 0.500 0.156
Te1 Te 0.000 0.500 0.685
Pd1 Pd 0.000 0.000 0.500
F1 F 0.000 0.000 0.000
F2 F 0.500 0.500 0.000

# Hg2Te2PtF2 (PBE, relaxed)
# DFT total energy: -2.929 eV/atom
# Crystal system: tetragonal
data_Hg2Te2PtF2
_cell_length_a 4.087
_cell_length_b 4.087
_cell_length_c 8.821
_cell_angle_alpha 90.00
_cell_angle_beta 90.00
_cell_angle_gamma 90.00
_space_group_name_H-M_alt 'P -4 m 2'
_space_group_IT_number 115
loop_
_space_group_symop_operation_xyz
'x,y,z'
'y,-x,-z'
'-x,-y,z'
'-y,x,-z'
'-x,y,z'
'-y,-x,-z'
'x,-y,z'
'y,x,-z'
loop_
_atom_site_label
_atom_site_type_symbol
_atom_site_fract_x
_atom_site_fract_y
_atom_site_fract_z
Hg1 Hg 0.000 0.500 0.162
Te1 Te 0.000 0.500 0.683
Pt1 Pt 0.500 0.500 0.500
F1 F 0.000 0.000 0.000
F2 F 0.500 0.500 0.000

# Rb2HgF6 (PBE, relaxed)
# Crystal system: trigonal
# Polymorph energy (0 for the lowest one): 0 meV/atom
data_Rb2HgF6
_cell_length_a 5.9094
_cell_length_b 5.9094
_cell_length_c 4.6722
_cell_angle_alpha 90.00
_cell_angle_beta 90.00
_cell_angle_gamma 120.00
_space_group_name_H-M_alt 'P -3 m 1'
_space_group_IT_number 164
_space_group_name_Hall '-P 3 2"'
loop_
_atom_site_label
_atom_site_type_symbol
_atom_site_fract_x
_atom_site_fract_y
_atom_site_fract_z
Rb1 Rb 0.3333 0.6667 0.2228
Hg1 Hg 0.0000 0.0000 0.5000
F1 F 0.1760 0.3519 0.7336

# RbHgF3 (PBE, relaxed)
# DFT total energy: -3.317 eV/atom
# Crystal system: orthorhombic
data_RbHgF3
_cell_length_a 6.283
_cell_length_b 6.359
_cell_length_c 4.466
_cell_angle_alpha 90.00
_cell_angle_beta 90.00
_cell_angle_gamma 90.00
_space_group_name_H-M_alt 'C m m m'
_space_group_IT_number 65
_space_group_name_Hall '-C 2 2'
loop_
_atom_site_label
_atom_site_type_symbol
_atom_site_fract_x
_atom_site_fract_y
_atom_site_fract_z
Rb1 Rb 0.000 0.000 0.000
Hg1 Hg 0.000 0.500 0.500
F1 F 0.000 0.500 0.000
F2 F 0.250 0.250 0.500

# RbHgF4 (PBE, relaxed)
# DFT total energy: -3.149 eV/atom
# Crystal system: monoclinic
data_RbHgF4
_cell_length_a 7.803
_cell_length_b 10.570
_cell_length_c 6.047
_cell_angle_alpha 90.00
_cell_angle_beta 127.11
_cell_angle_gamma 90.00
_space_group_name_H-M_alt 'C 1 2/c 1'
_space_group_IT_number 15
loop_
_space_group_symop_operation_xyz
'x,y,z'
'-x,-y,-z'
'-x,y,-z+1/2'
'x,-y,z+1/2'
'x+1/2,y+1/2,z'
'-x+1/2,-y+1/2,-z'
'-x+1/2,y+1/2,-z+1/2'
'x+1/2,-y+1/2,z+1/2'
loop_
_atom_site_label
_atom_site_type_symbol
_atom_site_fract_x
_atom_site_fract_y
_atom_site_fract_z
Rb1 Rb 0.000 0.123 0.250
Hg1 Hg 0.000 0.381 0.750
F1 F 0.184 0.244 0.736
F2 F 0.192 0.480 0.250

# Rb2HgF6 (PBE, relaxed)
# Crystal system: monoclinic
# Polymorph energy (0 for the lowest one): 38 meV/atom
data_Rb2HgF6
_cell_length_a 10.088
_cell_length_b 5.855
_cell_length_c 5.842
_cell_angle_alpha 90.00
_cell_angle_beta 125.24
_cell_angle_gamma 90.00
_space_group_name_H-M_alt 'C 1 2/m 1'
_space_group_IT_number 12
loop_
_space_group_symop_operation_xyz
'x,y,z'
'-x,-y,-z'
'-x,y,-z'
'x,-y,z'
'x+1/2,y+1/2,z'
'-x+1/2,-y+1/2,-z'
'-x+1/2,y+1/2,-z'
'x+1/2,-y+1/2,z'
loop_
_atom_site_label
_atom_site_type_symbol
_atom_site_fract_x
_atom_site_fract_y
_atom_site_fract_z
Rb1 Rb 0.249 0.000 0.250
Hg1 Hg 0.000 0.500 0.000
F1 F 0.000 0.246 0.254
F2 F 0.245 0.000 0.745

# Rb3HgF6 (PBE, relaxed)
# Crystal system: monoclinic
# Polymorph energy (0 for the lowest one): 0 meV/atom
data_Rb3HgF6
_cell_length_a 6.383
_cell_length_b 6.692
_cell_length_c 10.985
_cell_angle_alpha 90.00
_cell_angle_beta 125.08
_cell_angle_gamma 90.00
_space_group_name_H-M_alt 'P 1 21/c 1'
_space_group_IT_number 14
loop_
_space_group_symop_operation_xyz
'x,y,z'
'-x,-y,-z'
'-x,y+1/2,-z+1/2'
'x,-y+1/2,z+1/2'
loop_
_atom_site_label
_atom_site_type_symbol
_atom_site_fract_x
_atom_site_fract_y
_atom_site_fract_z
Rb1 Rb 0.000 0.000 0.000
Rb2 Rb 0.230 0.055 0.748
Hg1 Hg 0.500 0.000 0.500
F1 F 0.176 0.183 0.453
F2 F 0.254 0.730 0.431
F3 F 0.388 0.054 0.275